{"formula": "Tb2MgCd6", "functional": "PBE", "state": "optimized geometry", "dos_ef_per_ev_fu": 5.9, "relative_energy_mev_per_atom": 29, "magmom_total_mub_per_fu": 0.000, "formation_enthalpy_0k_ev_per_atom": -0.21, "lattice": [[6.509, -0.035, -0.020], [0.023, 6.207, 0.004], [0.023, 3.096, 5.380]], "species": ["Tb", "Tb", "Mg", "Cd", "Cd", "Cd", "Cd", "Cd", "Cd"], "fractional_positions": [[0.869, 0.667, 0.667], [0.131, 0.333, 0.333], [0.000, 0.000, 0.000], [0.327, 0.351, 0.825], [0.326, 0.825, 0.825], [0.327, 0.825, 0.351], [0.673, 0.649, 0.175], [0.674, 0.175, 0.175], [0.673, 0.175, 0.649]]}